# 1
Below is a relaxed Mn2NiSe crystal, with properties calculated at the PBE-GGA level.

Calculated values
The energy relative to the elements, uncorrected is 0.1448 eV/atom. The magnetization comes out at 1.57 μB per atom. The calculation puts the calculated volume at 13.12 Å³ per atom.

The structure in POSCAR format:
```
Mn2NiSe
1.0
3.866 0.000 0.000
0.000 3.684 0.000
0.000 0.000 3.684
Mn Ni Se
2 1 1
direct
0.000 0.000 0.000
0.000 0.500 0.500
0.500 0.500 0.000
0.500 0.000 0.500
```

# 2
Below is a relaxed MnNiSe2 crystal, with properties calculated at the PBE-GGA level.

Calculated values
For the energy above the lowest structure with this stoichiometry, the calculation gives 151.1 kJ/mol of formula units. The energy relative to the elements, uncorrected is 0.0645 eV/atom. The magnetization comes out at 0.82 μB per atom. The calculation puts the calculated volume at 15.37 Å³ per atom.

The structure in POSCAR format:
```
MnNiSe2
1.0
-1.227 3.795 -1.793
0.686 -1.663 -3.988
-3.044 -1.029 -0.095
Mn Ni Se
1 1 2
direct
0.500 0.000 0.500
0.000 0.500 0.500
0.000 0.000 0.000
0.500 0.500 0.000
```

What is the magnetization in the first record? 1.57 μB per atom